No. 1
CuCl2F3: optimized geometry, PBE.

Results
- Formation energy without anion corrections: -749.6 meV/atom
- N(E_F): 6.0 states/eV/cell

Cell: 6.899 5.956 5.903 Å, 83.75 74.99 94.99°
Site moments in Bohr magnetons follow the coordinates.
Atoms (fractional coordinates):
Cu (0.039, 0.645, 0.175)  0.32
Cu (0.961, 0.355, 0.825)  0.32
Cl (0.680, 0.842, 0.593)  -0.01
Cl (0.747, 0.346, 0.615)  0.06
Cl (0.253, 0.654, 0.385)  0.06
Cl (0.320, 0.158, 0.407)  -0.01
F (0.516, 0.185, 0.163)  0.00
F (0.484, 0.815, 0.837)  0.00
F (0.081, 0.108, 0.718)  0.05
F (0.860, 0.598, 0.979)  0.07
F (0.140, 0.402, 0.021)  0.07
F (0.919, 0.892, 0.282)  0.05

---

No. 2
Rb3SrCu2Br9: optimized geometry, PBE.

Results
- Formation energy without anion corrections: -1182.5 meV/atom
- N(E_F): 4.8 states/eV/cell

Cell: 7.629 7.629 9.719 Å, 90.00 90.00 120.00°
Atoms (fractional coordinates):
Rb (0.333, 0.667, 0.697)
Rb (0.000, 0.000, 0.000)
Rb (0.667, 0.333, 0.303)
Sr (0.000, 0.000, 0.500)
Cu (0.333, 0.667, 0.152)
Cu (0.667, 0.333, 0.848)
Br (0.825, 0.175, 0.694)
Br (0.825, 0.650, 0.694)
Br (0.350, 0.175, 0.694)
Br (0.650, 0.825, 0.306)
Br (0.175, 0.350, 0.306)
Br (0.175, 0.825, 0.306)
Br (0.500, 0.000, 0.000)
Br (0.000, 0.500, 0.000)
Br (0.500, 0.500, 0.000)

---

No. 3
MnV2Ir5: optimized geometry, PBE.

Results
- N(E_F): 13.5 states/eV/cell
- ΔE_f: -0.437 eV/atom

Cell: 3.822 5.389 10.755 Å, 90.00 90.00 90.00°
Site moments in Bohr magnetons follow the coordinates.
Atoms (fractional coordinates):
Mn (0.000, 0.000, 0.500)  2.13
Mn (0.000, 0.500, 0.000)  2.13
V (0.500, 0.255, 0.376)  -0.40
V (0.500, 0.745, 0.624)  -0.40
V (0.500, 0.245, 0.876)  -0.40
V (0.500, 0.755, 0.124)  -0.40
Ir (0.500, 0.263, 0.121)  -0.03
Ir (0.500, 0.737, 0.879)  -0.03
Ir (0.500, 0.763, 0.379)  -0.03
Ir (0.500, 0.237, 0.621)  -0.03
Ir (0.000, 0.989, 0.748)  0.06
Ir (0.000, 0.011, 0.252)  0.06
Ir (0.000, 0.489, 0.752)  0.06
Ir (0.000, 0.511, 0.248)  0.06
Ir (0.000, 0.500, 0.500)  0.00
Ir (0.000, 0.000, 0.000)  0.00

---

No. 4
LaZnIrCl2: optimized geometry, PBE.

Results
- Formation energy without anion corrections: -243.4 meV/atom
- N(E_F): 1.9 states/eV/cell

Cell: 5.100 5.100 5.224 Å, 90.00 90.00 90.00°
Atoms (fractional coordinates):
Cl (0.000, 0.500, 0.000)
Cl (0.500, 0.000, 0.000)
Zn (0.500, 0.500, 0.500)
Ir (0.000, 0.000, 0.000)
La (0.000, 0.000, 0.500)

---

No. 5
Tm2HfAs3: optimized geometry, PBE.

Results
- N(E_F): 2.1 states/eV/cell
- ΔE_f: -1.305 eV/atom

Cell: 3.978 3.978 8.874 Å, 102.95 102.95 89.99°
Atoms (fractional coordinates):
Tm (0.102, 0.103, 0.209)
Tm (0.767, 0.768, 0.539)
Hf (0.434, 0.436, 0.874)
As (0.934, 0.936, 0.874)
As (0.272, 0.273, 0.549)
As (0.597, 0.598, 0.198)

---

No. 6
Dy2PuZr: optimized geometry, PBE.

Results
- N(E_F): 13.8 states/eV/cell
- ΔE_f: 0.171 eV/atom

Cell: 4.835 4.777 4.777 Å, 90.00 90.00 90.00°
Site moments in Bohr magnetons follow the coordinates.
Atoms (fractional coordinates):
Dy (0.000, 0.000, 0.500)  0.04
Dy (0.000, 0.500, 0.000)  0.04
Zr (0.500, 0.500, 0.500)  -0.05
Pu (0.500, 0.000, 0.000)  5.34

---

No. 7
Sc2Cr2Ge2C: optimized geometry, PBE.

Results
- N(E_F): 5.7 states/eV/cell
- ΔE_f: -0.530 eV/atom

Cell: 3.905 3.905 7.417 Å, 105.26 105.26 90.00°
Atoms (fractional coordinates):
Sc (0.165, 0.165, 0.330)
Sc (0.835, 0.835, 0.670)
Cr (0.000, 0.500, 0.000)
Cr (0.500, 0.000, 0.000)
Ge (0.374, 0.374, 0.749)
Ge (0.626, 0.626, 0.251)
C (0.000, 0.000, 0.000)

---

No. 8
Li3Hg3Rh2: optimized geometry, PBE.

Results
- N(E_F): 2.8 states/eV/cell
- ΔE_f: -0.206 eV/atom

Cell: 4.548 4.507 6.496 Å, 90.00 90.00 90.00°
Atoms (fractional coordinates):
Li (0.500, 0.500, 0.248)
Li (0.500, 0.500, 0.752)
Li (0.000, 0.500, 0.000)
Hg (0.000, 0.500, 0.500)
Hg (0.500, 0.000, 0.000)
Hg (0.500, 0.000, 0.500)
Rh (0.000, 0.000, 0.241)
Rh (0.000, 0.000, 0.759)